No. 1
The following is a GGA-PBE calculation of an optimized crystal structure of Sr3SO6, from the Alexandria database.

Cell lengths 7.6668, 7.6668, 6.1426 Å; angles 90.00, 90.00, 100.77 degrees
Last column: nearest neighbours and their distance in Å.
Positions (direct):
Sr1 0.0864 0.9136 0.5000  4 O 2.43
Sr2 0.1832 0.3856 0.4935  2 O 2.28-2.29
Sr3 0.3856 0.1832 0.9935  2 O 2.28-2.29
Sr4 0.6144 0.8168 0.4935  2 O 2.28-2.29
Sr5 0.8168 0.6144 0.9935  2 O 2.28-2.29
Sr6 0.9136 0.0864 0.0000  4 O 2.43
S1 0.3263 0.6737 0.9762  4 O 1.49-1.51
S2 0.6737 0.3263 0.4762  4 O 1.49-1.51
O1 0.1550 0.5954 0.0844  1 S 1.49
O2 0.1594 0.1645 0.7470  4 Sr 2.28-2.43
O3 0.1645 0.1594 0.2470  4 Sr 2.28-2.43
O4 0.2941 0.7059 0.7376  1 S 1.51
O5 0.4046 0.8450 0.0844  1 S 1.49
O6 0.4527 0.5473 0.9943  1 S 1.50
O7 0.5473 0.4527 0.4943  1 S 1.50
O8 0.5954 0.1550 0.5844  1 S 1.49
O9 0.7059 0.2941 0.2376  1 S 1.51
O10 0.8355 0.8406 0.7470  4 Sr 2.28-2.43
O11 0.8406 0.8355 0.2470  4 Sr 2.28-2.43
O12 0.8450 0.4046 0.5844  1 S 1.49



No. 2
The following is a GGA-PBE calculation of an optimized crystal structure of SrSO3, from the Alexandria database.

Cell lengths 3.8506, 3.8506, 3.8506 Å; angles 90.00, 90.00, 90.00 degrees
Last column: nearest neighbours and their distance in Å.
Positions (direct):
Sr1 0.0000 0.0000 0.0000  12 O 2.72
S1 0.5000 0.5000 0.5000  6 O 1.93
O1 0.0000 0.5000 0.5000  2 S 1.93
O2 0.5000 0.0000 0.5000  2 S 1.93
O3 0.5000 0.5000 0.0000  2 S 1.93



No. 3
The following is a GGA-PBE calculation of an optimized crystal structure of SrS4O12, from the Alexandria database.

Cell lengths 6.0180, 6.0180, 6.0180 Å; angles 109.47, 109.47, 109.47 degrees
Last column: nearest neighbours and their distance in Å.
Positions (direct):
Sr1 0.0000 0.0000 0.0000  12 O 2.49
S1 0.0000 0.0000 0.5000  6 O 1.80
S2 0.0000 0.5000 0.0000  6 O 1.80
S3 0.5000 0.0000 0.0000  6 O 1.80
S4 0.5000 0.5000 0.5000  6 O 1.80
O1 0.0977 0.2971 0.8005  2 S 1.80
O2 0.1995 0.4966 0.2971  2 S 1.80
O3 0.1995 0.9023 0.7029  2 S 1.80
O4 0.2971 0.1995 0.4966  2 S 1.80
O5 0.2971 0.8005 0.0977  2 S 1.80
O6 0.4966 0.2971 0.1995  2 S 1.80
O7 0.5034 0.7029 0.8005  2 S 1.80
O8 0.7029 0.1995 0.9023  2 S 1.80
O9 0.7029 0.8005 0.5034  2 S 1.80
O10 0.8005 0.0977 0.2971  2 S 1.80
O11 0.8005 0.5034 0.7029  2 S 1.80
O12 0.9023 0.7029 0.1995  2 S 1.80



Values for electronic total energy, eV per atom, ordered as above
-6.247, -5.489, -4.866
Values for magnetic moment, μB/cell, ordered as above
0.00, 0.00, 0.00